Computed, not measured: a relaxed structure of Rb2NiBiF6 at the PBE with a Hubbard U level of DFT.

* SG: I4/mmm
* electronic total energy: -42.5 eV per cell

Lattice parameters (Å, degrees): 6.159 6.159 6.625 62.30 62.30 90.00
Atoms (fractional coordinates):
Ni 0.500 0.500 0.000
Bi 0.000 0.000 0.000
Rb 0.750 0.250 0.500
Rb 0.250 0.750 0.500
F 0.227 0.227 0.546
F 0.773 0.773 0.454
F 0.261 0.261 0.000
F 0.739 0.739 0.000
F 0.739 0.261 0.000
F 0.261 0.739 0.000